Entry 1:
Ca2Au2Cl after structural relaxation. Source: the Alexandria database, functional GGA-PBE.

Geometry as POSCAR:
```
Ca2Au2Cl
1.0
7.961 0.000 0.000
0.000 7.961 0.000
0.000 0.000 4.121
Ca Au Cl
4 4 2
direct
0.180 0.320 0.000 Ca
0.320 0.820 0.000 Ca
0.680 0.180 0.000 Ca
0.820 0.680 0.000 Ca
0.122 0.622 0.500 Au
0.378 0.122 0.500 Au
0.622 0.878 0.500 Au
0.878 0.378 0.500 Au
0.000 0.000 0.000 Cl
0.500 0.500 0.000 Cl
```

## Properties
- DOS(E_F): 1.75 states/eV/f.u.
- Final energy: -35.58 eV for the cell shown
- E_form (uncorrected): -5.39 eV per formula unit

Entry 2:
Nd4SmDy2Mg after structural relaxation. Source: the Alexandria database, functional GGA-PBE.

Geometry as POSCAR:
```
Nd4SmDy2Mg
1.0
5.757 0.000 0.000
0.000 5.768 0.000
0.000 0.000 7.895
Nd Sm Dy Mg
4 1 2 1
direct
0.000 0.000 0.233 Nd
0.000 0.000 0.767 Nd
0.500 0.500 0.234 Nd
0.500 0.500 0.766 Nd
0.000 0.500 0.500 Sm
0.000 0.500 0.000 Dy
0.500 0.000 0.500 Dy
0.500 0.000 0.000 Mg
```

## Properties
- DOS(E_F): 12.33 states/eV/f.u.
- Final energy: -34.10 eV for the cell shown

Entry 3:
As2H5Pd12 after structural relaxation. Source: the Alexandria database, functional GGA-PBE.

Geometry as POSCAR:
```
As2H5Pd12
1.0
6.199 -2.920 0.000
6.199 2.920 0.000
-2.550 0.000 6.618
As H Pd
2 5 12
direct
0.250 0.750 0.000 As
0.750 0.250 0.000 As
0.000 0.000 0.500 H
0.268 0.268 0.066 H
0.300 0.300 0.549 H
0.700 0.700 0.451 H
0.732 0.732 0.934 H
0.044 0.538 0.842 Pd
0.076 0.076 0.780 Pd
0.129 0.628 0.539 Pd
0.372 0.871 0.461 Pd
0.426 0.426 0.225 Pd
0.462 0.956 0.158 Pd
0.538 0.044 0.842 Pd
0.574 0.574 0.775 Pd
0.628 0.129 0.539 Pd
0.871 0.372 0.461 Pd
0.924 0.924 0.220 Pd
0.956 0.462 0.158 Pd
```

## Properties
- DOS(E_F): 9.73 states/eV/f.u.
- Final energy: -90.01 eV for the cell shown

Entry 4:
KBI3 after structural relaxation. Source: the Alexandria database, functional GGA-PBE.

Geometry as POSCAR:
```
KBI3
1.0
5.390 0.000 0.000
0.000 5.390 0.000
0.000 0.000 5.390
K B I
1 1 3
direct
0.000 0.000 0.000 K
0.500 0.500 0.500 B
0.000 0.500 0.500 I
0.500 0.000 0.500 I
0.500 0.500 0.000 I
```

## Properties
- DOS(E_F): 1.29 states/eV/f.u.
- Final energy: -12.43 eV for the cell shown
- Excess energy over the best structure of this formula in the dataset: 3.04 eV/f.u.
- E_form (uncorrected): 0.00 eV per formula unit

Entry 5:
PmY3Tm after structural relaxation. Source: the Alexandria database, functional GGA-PBE.

Geometry as POSCAR:
```
PmY3Tm
1.0
6.316 0.000 0.000
0.000 5.669 0.000
-3.144 0.000 9.114
Pm Y Tm
2 6 2
direct
0.070 0.250 0.299 Pm
0.930 0.750 0.701 Pm
0.137 0.750 0.098 Y
0.266 0.250 0.704 Y
0.334 0.750 0.501 Y
0.666 0.250 0.499 Y
0.734 0.750 0.296 Y
0.863 0.250 0.902 Y
0.468 0.250 0.099 Tm
0.532 0.750 0.901 Tm
```

## Properties
- DOS(E_F): 8.74 states/eV/f.u.
- Final energy: -57.16 eV for the cell shown

Entry 6:
Ce3YFe after structural relaxation. Source: the Alexandria database, functional GGA-PBE.

Geometry as POSCAR:
```
Ce3YFe
1.0
5.194 0.000 0.000
0.000 5.194 0.000
0.000 0.000 5.194
Ce Y Fe
3 1 1
direct
0.000 0.000 0.500 Ce
0.000 0.500 0.000 Ce
0.500 0.000 0.000 Ce
0.500 0.500 0.500 Y
0.000 0.000 0.000 Fe
```

## Properties
- DOS(E_F): 14.49 states/eV/f.u.
- Final energy: -32.19 eV for the cell shown

Entry 7:
PmNdAsO2 after structural relaxation. Source: the Alexandria database, functional GGA-PBE.

Geometry as POSCAR:
```
PmNdAsO2
1.0
3.921 0.000 0.000
0.000 3.921 0.000
0.000 0.000 13.284
Pm Nd As O
2 2 2 4
direct
0.000 0.000 0.000 Pm
0.500 0.500 0.500 Pm
0.000 0.000 0.683 Nd
0.500 0.500 0.183 Nd
0.000 0.000 0.342 As
0.500 0.500 0.842 As
0.000 0.500 0.090 O
0.000 0.500 0.590 O
0.500 0.000 0.090 O
0.500 0.000 0.590 O
```

## Properties
- DOS(E_F): 2.48 states/eV/f.u.
- Final energy: -73.88 eV for the cell shown
- E_form (uncorrected): -12.85 eV per formula unit

Entry 8:
HF4 after structural relaxation. Source: the Alexandria database, functional GGA-PBE.

Geometry as POSCAR:
```
HF4
1.0
3.051 0.000 0.000
-0.841 3.375 0.000
-0.142 -0.142 5.736
H F
1 4
direct
0.000 0.000 0.000 H
0.226 0.771 0.000 F
0.398 0.292 0.496 F
0.602 0.708 0.504 F
0.774 0.229 0.000 F
```

## Properties
- DOS(E_F): 1.05 states/eV/f.u.
- Final energy: -13.34 eV for the cell shown
- Excess energy over the best structure of this formula in the dataset: 0.00 eV/f.u.

Entry 9:
Ac3Ga2Ru3 after structural relaxation. Source: the Alexandria database, functional GGA-PBE.

Geometry as POSCAR:
```
Ac3Ga2Ru3
1.0
2.181 -5.764 0.000
2.181 5.764 0.000
0.000 0.000 15.128
Ac Ga Ru
6 4 6
direct
0.087 0.913 0.616 Ac
0.087 0.913 0.884 Ac
0.365 0.635 0.750 Ac
0.635 0.365 0.250 Ac
0.913 0.087 0.116 Ac
0.913 0.087 0.384 Ac
0.208 0.792 0.083 Ga
0.208 0.792 0.417 Ga
0.792 0.208 0.583 Ga
0.792 0.208 0.917 Ga
0.310 0.690 0.250 Ru
0.399 0.601 0.528 Ru
0.399 0.601 0.972 Ru
0.601 0.399 0.028 Ru
0.601 0.399 0.472 Ru
0.690 0.310 0.750 Ru
```

## Properties
- DOS(E_F): 6.26 states/eV/f.u.
- Final energy: -97.31 eV for the cell shown

Entry 10:
Na3Ac2TmO6 after structural relaxation. Source: the Alexandria database, functional GGA-PBE.

Geometry as POSCAR:
```
Na3Ac2TmO6
1.0
3.155 -5.553 0.000
3.155 5.553 0.000
-1.955 0.000 5.674
Na Ac Tm O
3 2 1 6
direct
0.000 0.000 0.000 Na
0.358 0.642 0.000 Na
0.642 0.358 0.000 Na
0.168 0.832 0.500 Ac
0.832 0.168 0.500 Ac
0.500 0.500 0.500 Tm
0.130 0.433 0.285 O
0.257 0.257 0.713 O
0.433 0.130 0.285 O
0.567 0.870 0.715 O
0.743 0.743 0.287 O
0.870 0.567 0.715 O
```

## Properties
- DOS(E_F): 0.00 states/eV/f.u.
- Final energy: -77.83 eV for the cell shown
- E_form (uncorrected): -31.43 eV per formula unit

Entry 11:
Li2HgPd4Pb2 after structural relaxation. Source: the Alexandria database, functional GGA-PBE.

Geometry as POSCAR:
```
Li2HgPd4Pb2
1.0
-3.330 3.330 3.849
3.330 -3.330 3.849
3.330 3.330 -3.849
Li Hg Pd Pb
2 1 4 2
direct
0.186 0.186 0.000 Li
0.814 0.814 0.000 Li
0.500 0.500 0.000 Hg
0.217 0.217 0.435 Pd
0.217 0.783 0.000 Pd
0.783 0.217 0.000 Pd
0.783 0.783 0.565 Pd
0.250 0.750 0.500 Pb
0.750 0.250 0.500 Pb
```

## Properties
- DOS(E_F): 3.87 states/eV/f.u.
- Final energy: -33.96 eV for the cell shown

Entry 12:
CoNi2Sn after structural relaxation. Source: the Alexandria database, functional GGA-PBE.

Geometry as POSCAR:
```
CoNi2Sn
1.0
3.645 0.000 0.000
0.000 3.645 0.000
0.000 0.000 17.384
Co Ni Sn
4 8 4
direct
0.000 0.000 0.000 Co
0.000 0.500 0.250 Co
0.500 0.000 0.750 Co
0.500 0.500 0.500 Co
0.222 0.250 0.125 Ni
0.250 0.722 0.375 Ni
0.250 0.778 0.875 Ni
0.278 0.250 0.625 Ni
0.722 0.750 0.625 Ni
0.750 0.222 0.875 Ni
0.750 0.278 0.375 Ni
0.778 0.750 0.125 Ni
0.000 0.000 0.500 Sn
0.000 0.500 0.750 Sn
0.500 0.000 0.250 Sn
0.500 0.500 0.000 Sn
```

## Properties
- DOS(E_F): 5.60 states/eV/f.u.
- Final energy: -85.57 eV for the cell shown

Entry 13:
KCoS3 after structural relaxation. Source: the Alexandria database, functional GGA-PBE.

Geometry as POSCAR:
```
KCoS3
1.0
5.445 0.000 0.000
0.000 5.445 0.000
0.000 0.000 5.445
K Co S
1 1 3
direct
0.000 0.000 0.000 K
0.500 0.500 0.500 Co
0.000 0.000 0.500 S
0.000 0.500 0.000 S
0.500 0.000 0.000 S
```

## Properties
- DOS(E_F): 22.86 states/eV/f.u.
- Final energy: -11.95 eV for the cell shown
- Excess energy over the best structure of this formula in the dataset: 10.77 eV/f.u.
- E_form (uncorrected): 8.63 eV per formula unit

Entry 14:
Ho3SeS3 after structural relaxation. Source: the Alexandria database, functional GGA-PBE.

Geometry as POSCAR:
```
Ho3SeS3
1.0
-5.596 5.596 5.596
5.596 -5.596 5.596
5.596 5.596 -5.596
Ho Se S
12 4 12
direct
0.240 0.750 0.260 Ho
0.240 0.990 0.980 Ho
0.260 0.240 0.750 Ho
0.260 0.520 0.510 Ho
0.510 0.260 0.520 Ho
0.510 0.750 0.990 Ho
0.520 0.510 0.260 Ho
0.750 0.260 0.240 Ho
0.750 0.990 0.510 Ho
0.980 0.240 0.990 Ho
0.990 0.510 0.750 Ho
0.990 0.980 0.240 Ho
0.000 0.250 0.500 Se
0.250 0.250 0.250 Se
0.250 0.500 0.000 Se
0.500 0.000 0.250 Se
0.006 0.012 0.756 S
0.006 0.494 0.250 S
0.012 0.756 0.006 S
0.250 0.006 0.494 S
0.250 0.744 0.756 S
0.488 0.494 0.744 S
0.494 0.250 0.006 S
0.494 0.744 0.488 S
0.744 0.488 0.494 S
0.744 0.756 0.250 S
0.756 0.006 0.012 S
0.756 0.250 0.744 S
```

## Properties
- DOS(E_F): 2.08 states/eV/f.u.
- Final energy: -174.05 eV for the cell shown
- Excess energy over the best structure of this formula in the dataset: 0.00 eV/f.u.
- E_form (uncorrected): -13.91 eV per formula unit

Entry 15:
Sr3NdIn4 after structural relaxation. Source: the Alexandria database, functional GGA-PBE.

Geometry as POSCAR:
```
Sr3NdIn4
1.0
3.997 0.000 0.000
0.000 3.997 0.000
0.000 0.000 16.278
Sr Nd In
3 1 4
direct
0.000 0.000 0.000 Sr
0.000 0.000 0.255 Sr
0.000 0.000 0.745 Sr
0.000 0.000 0.500 Nd
0.500 0.500 0.128 In
0.500 0.500 0.386 In
0.500 0.500 0.614 In
0.500 0.500 0.872 In
```

## Properties
- DOS(E_F): 6.90 states/eV/f.u.
- Final energy: -24.26 eV for the cell shown

Entry 16:
Rb2SmHoTe4 after structural relaxation. Source: the Alexandria database, functional GGA-PBE.

Geometry as POSCAR:
```
Rb2SmHoTe4
1.0
7.894 0.000 0.000
0.000 4.557 0.000
-2.630 0.000 8.560
Rb Sm Ho Te
2 1 1 4
direct
0.000 0.000 0.000 Rb
0.500 0.500 0.000 Rb
0.000 0.500 0.500 Sm
0.500 0.000 0.500 Ho
0.239 0.000 0.702 Te
0.272 0.500 0.301 Te
0.728 0.500 0.699 Te
0.761 0.000 0.298 Te
```

## Properties
- Final energy: -34.90 eV for the cell shown
- E_form (uncorrected): -11.10 eV per formula unit

Entry 17:
Th3Se2S3 after structural relaxation. Source: the Alexandria database, functional GGA-PBE.

Geometry as POSCAR:
```
Th3Se2S3
1.0
3.794 0.000 0.000
0.000 4.763 0.000
0.000 0.000 20.657
Th Se S
6 4 6
direct
0.000 0.000 0.000 Th
0.000 0.500 0.155 Th
0.000 0.500 0.845 Th
0.500 0.000 0.345 Th
0.500 0.000 0.655 Th
0.500 0.500 0.500 Th
0.000 0.000 0.237 Se
0.000 0.000 0.763 Se
0.500 0.500 0.263 Se
0.500 0.500 0.737 Se
0.000 0.000 0.500 S
0.000 0.500 0.391 S
0.000 0.500 0.609 S
0.500 0.000 0.109 S
0.500 0.000 0.891 S
0.500 0.500 0.000 S
```

## Properties
- DOS(E_F): 4.19 states/eV/f.u.
- Final energy: -107.20 eV for the cell shown
- E_form (uncorrected): -11.99 eV per formula unit

Entry 18:
PrHo2Pt after structural relaxation. Source: the Alexandria database, functional GGA-PBE.

Geometry as POSCAR:
```
PrHo2Pt
1.0
3.874 0.000 0.000
-1.937 3.355 0.000
0.000 0.000 28.364
Pr Ho Pt
3 6 3
direct
0.000 0.000 0.000 Pr
0.333 0.667 0.667 Pr
0.667 0.333 0.333 Pr
0.000 0.000 0.226 Ho
0.000 0.000 0.774 Ho
0.333 0.667 0.441 Ho
0.333 0.667 0.892 Ho
0.667 0.333 0.108 Ho
0.667 0.333 0.559 Ho
0.000 0.000 0.500 Pt
0.333 0.667 0.167 Pt
0.667 0.333 0.833 Pt
```

## Properties
- DOS(E_F): 5.29 states/eV/f.u.
- Final energy: -66.30 eV for the cell shown
- Excess energy over the best structure of this formula in the dataset: 0.62 eV/f.u.

Entry 19:
Ca3PrIn2 after structural relaxation. Source: the Alexandria database, functional GGA-PBE.

Geometry as POSCAR:
```
Ca3PrIn2
1.0
5.355 0.000 0.000
0.000 9.968 0.000
0.000 0.000 7.228
Ca Pr In
6 2 4
direct
0.000 0.051 0.000 Ca
0.000 0.312 0.356 Ca
0.000 0.688 0.856 Ca
0.000 0.949 0.500 Ca
0.500 0.180 0.709 Ca
0.500 0.820 0.209 Ca
0.500 0.453 0.064 Pr
0.500 0.547 0.564 Pr
0.000 0.364 0.812 In
0.000 0.636 0.312 In
0.500 0.145 0.250 In
0.500 0.855 0.750 In
```

## Properties
- DOS(E_F): 5.28 states/eV/f.u.
- Final energy: -36.96 eV for the cell shown

Entry 20:
RbZnRh3 after structural relaxation. Source: the Alexandria database, functional GGA-PBE.

Geometry as POSCAR:
```
RbZnRh3
1.0
4.781 0.000 0.000
0.000 4.781 0.000
0.000 0.000 4.781
Rb Zn Rh
1 1 3
direct
0.000 0.000 0.000 Rb
0.500 0.500 0.500 Zn
0.000 0.500 0.500 Rh
0.500 0.000 0.500 Rh
0.500 0.500 0.000 Rh
```

## Properties
- DOS(E_F): 8.54 states/eV/f.u.
- Final energy: -19.53 eV for the cell shown
- Excess energy over the best structure of this formula in the dataset: 0.00 eV/f.u.